Entry 1:
Compound: PuGa5Co
Source: Alexandria via LeMat-Bulk
Functional: GGA-PBE
Structure: relaxed

Output
- ρ (g cm⁻³) = 9.14
- magnetic moment (μB/f.u.) = 0.15
- raw total energy (eV/atom) = -5.373
- space-group type = P4/mmm, No. 123

Lattice parameters (Å, degrees): 4.1992 4.1992 6.7104 90.00 90.00 90.00
Last column: magnetic moment on the atom in μB.
Element x y z (fractional)
Co: 0.0000 0.0000 0.5000  0.14
Ga: 0.0000 0.5000 0.3050  -0.01
Ga: 0.0000 0.5000 0.6950  -0.01
Ga: 0.5000 0.0000 0.3050  0.00
Ga: 0.5000 0.0000 0.6950  0.00
Ga: 0.5000 0.5000 0.0000  0.00
Pu: 0.0000 0.0000 0.0000  0.06

***

Entry 2:
Compound: Pu2Ga5Co3
Source: Alexandria via LeMat-Bulk
Functional: GGA-PBE
Structure: relaxed

Output
- ρ (g cm⁻³) = 10.15
- magnetic moment (μB/f.u.) = 9.41
- raw total energy (eV/atom) = -6.835
- space-group type = Ibam, No. 72

Lattice parameters (Å, degrees): 5.4819 8.3642 8.3642 70.78 70.87 70.87
Last column: magnetic moment on the atom in μB.
Element x y z (fractional)
Pu: 0.1538 0.5615 0.1309  5.10
Pu: 0.6538 0.1309 0.5615  5.10
Pu: 0.8462 0.4385 0.8691  5.10
Pu: 0.3462 0.8691 0.4385  5.10
Ga: 0.4237 0.2575 0.8951  -0.01
Ga: 0.9237 0.8951 0.2575  -0.01
Ga: 0.5763 0.7425 0.1049  -0.01
Ga: 0.0763 0.1049 0.7425  -0.01
Ga: 0.4474 0.8026 0.8026  -0.01
Ga: 0.5526 0.1974 0.1974  -0.01
Ga: 0.7500 0.5000 0.5000  0.02
Ga: 0.2500 0.5000 0.5000  0.02
Ga: 0.0526 0.1974 0.1974  -0.01
Ga: 0.9474 0.8026 0.8026  -0.01
Co: 0.3478 0.5656 0.7387  -0.62
Co: 0.8478 0.7387 0.5656  -0.62
Co: 0.6522 0.4344 0.2613  -0.62
Co: 0.1522 0.2613 0.4344  -0.62
Co: 0.2500 0.0000 0.0000  -0.01
Co: 0.7500 0.0000 0.0000  -0.01

***

Entry 3:
Compound: Pu3Ga3Co2
Source: Alexandria via LeMat-Bulk
Functional: GGA-PBE
Structure: relaxed

Output
- ρ (g cm⁻³) = 11.47
- magnetic moment (μB/f.u.) = 15.05
- raw total energy (eV/atom) = -8.586
- space-group type = C2/m, No. 12

Lattice parameters (Å, degrees): 4.3518 4.7050 7.9206 100.11 105.94 90.00
Last column: magnetic moment on the atom in μB.
Element x y z (fractional)
Pu: 0.1577 0.5673 0.3154  5.12
Pu: 0.8423 0.4327 0.6846  5.12
Pu: 0.0000 0.0000 0.0000  5.29
Ga: 0.6392 0.0589 0.2783  0.00
Ga: 0.5000 0.5000 0.0000  -0.06
Ga: 0.3608 0.9411 0.7217  0.00
Co: 0.2136 0.0956 0.4272  -0.58
Co: 0.7864 0.9044 0.5728  -0.58

***

Entry 4:
Compound: Pu3Ga9Co2
Source: Alexandria via LeMat-Bulk
Functional: GGA-PBE
Structure: relaxed

Output
- ρ (g cm⁻³) = 9.95
- magnetic moment (μB/f.u.) = 14.69
- raw total energy (eV/atom) = -6.374
- space-group type = Immm, No. 71

Lattice parameters (Å, degrees): 4.3080 7.9743 7.9743 72.93 74.33 74.33
Last column: magnetic moment on the atom in μB.
Element x y z (fractional)
Pu: 0.0000 0.0000 0.0000  5.28
Pu: 0.6967 0.3033 0.3033  5.15
Pu: 0.3033 0.6967 0.6967  5.15
Ga: 0.0000 0.5000 0.5000  -0.01
Ga: 0.6504 0.9884 0.7109  -0.01
Ga: 0.3496 0.0116 0.2891  -0.01
Ga: 0.6504 0.7109 0.9884  -0.01
Ga: 0.3496 0.2891 0.0116  -0.01
Ga: 0.8681 0.8500 0.4138  -0.02
Ga: 0.1319 0.1500 0.5862  -0.02
Ga: 0.8681 0.4138 0.8500  -0.02
Ga: 0.1319 0.5862 0.1500  -0.02
Co: 0.5000 0.3261 0.6739  -0.81
Co: 0.5000 0.6739 0.3261  -0.81

***

Entry 5:
Compound: PuGa5Co
Source: Alexandria via LeMat-Bulk
Functional: GGA-PBE
Structure: relaxed

Output
- ρ (g cm⁻³) = 8.51
- magnetic moment (μB/f.u.) = 5.83
- raw total energy (eV/atom) = -5.392
- space-group type = P4/mmm, No. 123

Lattice parameters (Å, degrees): 4.1587 4.1588 7.3553 90.00 90.00 90.00
Last column: magnetic moment on the atom in μB.
Element x y z (fractional)
Pu: 0.0000 0.0000 0.5000  5.22
Ga: 0.0000 0.5000 0.8150  0.00
Ga: 0.0000 0.5000 0.1850  0.00
Ga: 0.5000 0.0000 0.8150  0.00
Ga: 0.5000 0.0000 0.1850  0.00
Ga: 0.5000 0.5000 0.5000  0.07
Co: 0.5000 0.5000 0.0000  0.23

***

Entry 6:
Compound: PuGa12Co6
Source: Alexandria via LeMat-Bulk
Functional: GGA-PBE
Structure: relaxed

Output
- ρ (g cm⁻³) = 8.20
- magnetic moment (μB/f.u.) = 5.98
- raw total energy (eV/atom) = -5.118
- space-group type = R-3m, No. 166

Lattice parameters (Å, degrees): 6.9394 6.9394 6.9394 105.26 105.26 105.26
Last column: magnetic moment on the atom in μB.
Element x y z (fractional)
Pu: 0.0000 0.0000 0.0000  5.47
Ga: 0.8812 0.1188 0.5000  -0.01
Ga: 0.8529 0.5873 0.5873  0.00
Ga: 0.5873 0.5873 0.8529  0.00
Ga: 0.4127 0.1471 0.4127  0.00
Ga: 0.4127 0.4127 0.1471  0.00
Ga: 0.1471 0.4127 0.4127  0.00
Ga: 0.1188 0.5000 0.8812  -0.01
Ga: 0.5000 0.8812 0.1188  -0.01
Ga: 0.1188 0.8812 0.5000  -0.01
Ga: 0.8812 0.5000 0.1188  -0.01
Ga: 0.5000 0.1188 0.8812  -0.01
Ga: 0.5873 0.8529 0.5873  0.00
Co: 0.6878 0.2724 0.2724  0.06
Co: 0.2724 0.2724 0.6878  0.06
Co: 0.2724 0.6878 0.2724  0.06
Co: 0.7276 0.7276 0.3122  0.06
Co: 0.3122 0.7276 0.7276  0.06
Co: 0.7276 0.3122 0.7276  0.06

***

| no. | energy of formation (eV per atom) |
| --- | --- |
| 1 | -0.15 |
| 2 | -0.32 |
| 3 | -0.30 |
| 4 | -0.34 |
| 5 | -0.17 |
| 6 | -0.21 |